Entry a
## NiPtAu (PBE)

Data for a relaxed structure of NiPtAu.

Cell lengths 3.867, 3.942, 11.854 Å; angles 90.00, 90.00, 90.00 degrees
Fractional positions:
Ni: 0.000 0.000 0.000
Ni: 0.000 0.000 0.341
Ni: 0.000 0.500 0.500
Ni: 0.000 0.500 0.841
Pt: 0.500 0.000 0.176
Pt: 0.500 0.000 0.845
Pt: 0.500 0.500 0.345
Pt: 0.500 0.500 0.676
Au: 0.000 0.000 0.675
Au: 0.000 0.500 0.175
Au: 0.500 0.000 0.502
Au: 0.500 0.500 0.002

Properties
M_tot, μB/atom: 0.3415
Calculated density, Mg/m³: 16.566
Crystal system: orthorhombic

---

Entry b
## NiPtAu (PBE)

Data for a relaxed structure of NiPtAu.

Cell lengths 4.670, 8.550, 4.682 Å; angles 90.00, 105.42, 90.00 degrees
Fractional positions:
Ni: 0.000 0.000 0.000
Ni: 0.000 0.500 0.500
Ni: 0.500 0.000 0.500
Ni: 0.500 0.500 0.000
Pt: 0.000 0.157 0.500
Pt: 0.000 0.843 0.500
Pt: 0.500 0.343 0.500
Pt: 0.500 0.657 0.500
Au: 0.000 0.339 0.000
Au: 0.000 0.661 0.000
Au: 0.500 0.161 0.000
Au: 0.500 0.839 0.000

Properties
M_tot, μB/atom: 0.2456
Calculated density, Mg/m³: 16.614
Crystal system: monoclinic

---

Entry c
## NiPtAu (PBE)

Data for a relaxed structure of NiPtAu.

Cell lengths 5.874, 5.874, 5.874 Å; angles 90.00, 90.00, 90.00 degrees
Fractional positions:
Ni: 0.000 0.000 0.000
Ni: 0.000 0.500 0.500
Ni: 0.500 0.000 0.500
Ni: 0.500 0.500 0.000
Pt: 0.250 0.250 0.250
Pt: 0.250 0.750 0.750
Pt: 0.750 0.250 0.750
Pt: 0.750 0.750 0.250
Au: 0.250 0.250 0.750
Au: 0.250 0.750 0.250
Au: 0.750 0.250 0.250
Au: 0.750 0.750 0.750

Properties
M_tot, μB/atom: 0.3373
Calculated density, Mg/m³: 14.772
Crystal system: cubic

---

Which one sits at the top of the stability order? entry b does.

---

Entry a
## NiPtAu (PBE)

Data for a relaxed structure of NiPtAu.

Cell lengths 8.632, 3.930, 5.543 Å; angles 90.00, 106.08, 90.00 degrees
Fractional positions:
Ni: 0.000 0.000 0.000
Ni: 0.171 0.500 0.347
Ni: 0.500 0.500 0.000
Ni: 0.671 0.000 0.347
Pt: 0.005 0.000 0.491
Pt: 0.333 0.000 0.661
Pt: 0.505 0.500 0.491
Pt: 0.833 0.500 0.661
Au: 0.164 0.500 0.847
Au: 0.338 0.000 0.167
Au: 0.664 0.000 0.847
Au: 0.838 0.500 0.167

Properties
M_tot, μB/atom: 0.3066
Calculated density, Mg/m³: 16.571
Crystal system: monoclinic

---

Entry b
## NiPtAu (PBE)

Data for a relaxed structure of NiPtAu.

Cell lengths 14.117, 2.804, 4.767 Å; angles 90.00, 107.25, 90.00 degrees
Fractional positions:
Ni: 0.000 0.000 0.000
Ni: 0.172 0.000 0.528
Ni: 0.500 0.500 0.000
Ni: 0.672 0.500 0.528
Pt: 0.012 0.500 0.502
Pt: 0.338 0.500 0.522
Pt: 0.512 0.000 0.502
Pt: 0.838 0.000 0.522
Au: 0.161 0.500 0.033
Au: 0.338 0.000 0.017
Au: 0.661 0.000 0.033
Au: 0.838 0.500 0.017

Properties
M_tot, μB/atom: 0.2489
Calculated density, Mg/m³: 16.613
Crystal system: monoclinic

---

Entry c
## NiPtAu (PBE)

Data for a relaxed structure of NiPtAu.

Cell lengths 2.803, 2.803, 11.433 Å; angles 90.00, 90.00, 90.00 degrees
Fractional positions:
Ni: 0.000 0.000 0.000
Ni: 0.500 0.500 0.500
Pt: 0.000 0.000 0.648
Pt: 0.500 0.500 0.148
Au: 0.000 0.000 0.337
Au: 0.500 0.500 0.837

Properties
M_tot, μB/atom: 0.2323
Calculated density, Mg/m³: 16.662
Crystal system: tetragonal

---

Entry d
## NiPtAu (PBE)

Data for a relaxed structure of NiPtAu.

Cell lengths 2.752, 4.111, 8.130 Å; angles 90.00, 99.73, 90.00 degrees
Fractional positions:
Ni: 0.038 0.250 0.080
Ni: 0.962 0.750 0.920
Pt: 0.400 0.250 0.797
Pt: 0.600 0.750 0.203
Au: 0.205 0.250 0.407
Au: 0.795 0.750 0.593

Properties
M_tot, μB/atom: 0.3200
Calculated density, Mg/m³: 16.512
Crystal system: monoclinic

---

Which one sits at the top of the stability order? entry c does.

---

Entry a
## NiPtAu (PBE)

Data for a relaxed structure of NiPtAu.

Cell lengths 2.806, 2.806, 6.663 Å; angles 90.00, 90.00, 120.00 degrees
Fractional positions:
Ni: 0.000 0.000 0.000
Pt: 0.667 0.333 0.696
Au: 0.333 0.667 0.325

Properties
M_tot, μB/atom: 0.3206
Calculated density, Mg/m³: 16.478
Crystal system: trigonal

---

Entry b
## NiPtAu (PBE)

Data for a relaxed structure of NiPtAu.

Cell lengths 4.834, 8.215, 4.847 Å; angles 90.00, 110.34, 90.00 degrees
Fractional positions:
Ni: 0.000 0.000 0.000
Ni: 0.000 0.167 0.500
Ni: 0.500 0.500 0.000
Ni: 0.500 0.667 0.500
Pt: 0.000 0.319 0.000
Pt: 0.000 0.661 0.000
Pt: 0.500 0.161 0.000
Pt: 0.500 0.819 0.000
Au: 0.000 0.499 0.500
Au: 0.000 0.839 0.500
Au: 0.500 0.339 0.500
Au: 0.500 0.999 0.500

Properties
M_tot, μB/atom: 0.2579
Calculated density, Mg/m³: 16.587
Crystal system: monoclinic

---

Entry c
## NiPtAu (PBE)

Data for a relaxed structure of NiPtAu.

Cell lengths 4.382, 4.382, 2.763 Å; angles 90.00, 90.00, 120.00 degrees
Fractional positions:
Ni: 0.000 0.000 0.000
Pt: 0.333 0.667 0.011
Au: 0.667 0.333 0.509

Properties
M_tot, μB/atom: 0.3043
Calculated density, Mg/m³: 16.294
Crystal system: trigonal

---

Which one sits at the top of the stability order? entry a does.

---

Entry a
## Ni2PtAu2 (PBE)

Data for a relaxed structure of Ni2PtAu2.

Cell lengths 7.350, 7.350, 2.849 Å; angles 90.00, 90.00, 90.00 degrees
Fractional positions:
Ni: 0.161 0.339 0.000
Ni: 0.339 0.839 0.000
Ni: 0.661 0.161 0.000
Ni: 0.839 0.661 0.000
Pt: 0.000 0.000 0.500
Pt: 0.500 0.500 0.500
Au: 0.138 0.638 0.500
Au: 0.362 0.138 0.500
Au: 0.638 0.862 0.500
Au: 0.862 0.362 0.500

Properties
M_tot, μB/atom: 0.1598
Calculated density, Mg/m³: 15.241
Crystal system: tetragonal

---

Entry b
## Ni2PtAu2 (PBE)

Data for a relaxed structure of Ni2PtAu2.

Cell lengths 6.452, 6.452, 3.670 Å; angles 90.00, 90.00, 90.00 degrees
Fractional positions:
Ni: 0.128 0.372 0.000
Ni: 0.372 0.872 0.000
Ni: 0.628 0.128 0.000
Ni: 0.872 0.628 0.000
Pt: 0.000 0.000 0.000
Pt: 0.500 0.500 0.000
Au: 0.171 0.671 0.500
Au: 0.329 0.171 0.500
Au: 0.671 0.829 0.500
Au: 0.829 0.329 0.500

Properties
M_tot, μB/atom: 0.2887
Calculated density, Mg/m³: 15.356
Crystal system: tetragonal

---

Which one sits at the top of the stability order? entry b does.

---

Entry a
## RbNi2Au (PBE)

Data for a relaxed structure of RbNi2Au.

Cell lengths 6.631, 6.631, 6.631 Å; angles 90.00, 90.00, 90.00 degrees
Fractional positions:
Rb: 0.000 0.000 0.000
Rb: 0.000 0.500 0.500
Rb: 0.500 0.000 0.500
Rb: 0.500 0.500 0.000
Ni: 0.250 0.250 0.250
Ni: 0.250 0.250 0.750
Ni: 0.250 0.750 0.250
Ni: 0.250 0.750 0.750
Ni: 0.750 0.250 0.250
Ni: 0.750 0.250 0.750
Ni: 0.750 0.750 0.250
Ni: 0.750 0.750 0.750
Au: 0.000 0.000 0.500
Au: 0.000 0.500 0.000
Au: 0.500 0.000 0.000
Au: 0.500 0.500 0.500

Properties
M_tot, μB/atom: 0.0000
Calculated density, Mg/m³: 9.110
Crystal system: cubic

---

Entry b
## RbNi2Au (PBE)

Data for a relaxed structure of RbNi2Au.

Cell lengths 4.825, 4.825, 17.727 Å; angles 90.00, 90.00, 90.00 degrees
Fractional positions:
Rb: 0.000 0.250 0.375
Rb: 0.000 0.750 0.625
Rb: 0.500 0.250 0.125
Rb: 0.500 0.750 0.875
Ni: 0.000 0.000 0.000
Ni: 0.000 0.500 0.000
Ni: 0.250 0.250 0.750
Ni: 0.250 0.750 0.250
Ni: 0.500 0.000 0.500
Ni: 0.500 0.500 0.500
Ni: 0.750 0.250 0.750
Ni: 0.750 0.750 0.250
Au: 0.000 0.250 0.875
Au: 0.000 0.750 0.125
Au: 0.500 0.250 0.625
Au: 0.500 0.750 0.375

Properties
M_tot, μB/atom: 0.4023
Calculated density, Mg/m³: 6.435
Crystal system: tetragonal

---

Which one sits at the top of the stability order? entry b does.

---

Entry a
## RbNi2Au2 (PBE)

Data for a relaxed structure of RbNi2Au2.

Cell lengths 8.088, 8.088, 2.847 Å; angles 90.00, 90.00, 90.00 degrees
Fractional positions:
Rb: 0.000 0.000 0.000
Rb: 0.500 0.500 0.000
Ni: 0.107 0.393 0.000
Ni: 0.393 0.893 0.000
Ni: 0.607 0.107 0.000
Ni: 0.893 0.607 0.000
Au: 0.180 0.680 0.500
Au: 0.320 0.180 0.500
Au: 0.680 0.820 0.500
Au: 0.820 0.320 0.500

Properties
M_tot, μB/atom: 0.1989
Calculated density, Mg/m³: 10.643
Crystal system: tetragonal

---

Entry b
## RbNi2Au2 (PBE)

Data for a relaxed structure of RbNi2Au2.

Cell lengths 4.570, 4.570, 9.958 Å; angles 90.00, 90.00, 90.00 degrees
Fractional positions:
Rb: 0.000 0.000 0.000
Rb: 0.500 0.500 0.500
Ni: 0.000 0.000 0.379
Ni: 0.000 0.000 0.621
Ni: 0.500 0.500 0.121
Ni: 0.500 0.500 0.879
Au: 0.000 0.500 0.250
Au: 0.000 0.500 0.750
Au: 0.500 0.000 0.250
Au: 0.500 0.000 0.750

Properties
M_tot, μB/atom: 0.1378
Calculated density, Mg/m³: 9.529
Crystal system: tetragonal

---

Which one sits at the top of the stability order? entry a does.

---

Entry a
## ReNi2Au (PBE)

Data for a relaxed structure of ReNi2Au.

Cell lengths 8.942, 2.672, 4.633 Å; angles 90.00, 100.41, 90.00 degrees
Fractional positions:
Re: 0.000 0.000 0.000
Re: 0.500 0.500 0.000
Ni: 0.016 0.500 0.536
Ni: 0.256 0.000 0.802
Ni: 0.516 0.000 0.536
Ni: 0.756 0.500 0.802
Au: 0.260 0.500 0.302
Au: 0.760 0.000 0.302

Properties
M_tot, μB/atom: 0.0000
Calculated density, Mg/m³: 15.269
Crystal system: monoclinic

---

Entry b
## ReNi2Au (PBE)

Data for a relaxed structure of ReNi2Au.

Cell lengths 2.733, 2.733, 25.918 Å; angles 90.00, 90.00, 120.00 degrees
Fractional positions:
Re: 0.000 0.000 0.000
Re: 0.333 0.667 0.667
Re: 0.667 0.333 0.333
Ni: 0.000 0.000 0.485
Ni: 0.000 0.000 0.743
Ni: 0.333 0.667 0.152
Ni: 0.333 0.667 0.410
Ni: 0.667 0.333 0.077
Ni: 0.667 0.333 0.818
Au: 0.000 0.000 0.237
Au: 0.333 0.667 0.904
Au: 0.667 0.333 0.571

Properties
M_tot, μB/atom: 0.1016
Calculated density, Mg/m³: 14.869
Crystal system: trigonal

---

Entry c
## ReNi2Au (PBE)

Data for a relaxed structure of ReNi2Au.

Cell lengths 2.652, 4.110, 5.147 Å; angles 90.00, 104.86, 90.00 degrees
Fractional positions:
Re: 0.000 0.000 0.000
Ni: 0.270 0.000 0.546
Ni: 0.411 0.500 0.813
Au: 0.660 0.500 0.325

Properties
M_tot, μB/atom: 0.0000
Calculated density, Mg/m³: 15.327
Crystal system: monoclinic

---

Which one sits at the top of the stability order? entry c does.

---

Entry a
## ReNi2Au (PBE)

Data for a relaxed structure of ReNi2Au.

Cell lengths 2.722, 4.408, 9.118 Å; angles 90.00, 90.00, 90.00 degrees
Fractional positions:
Re: 0.000 0.000 0.000
Re: 0.500 0.500 0.500
Ni: 0.000 0.000 0.454
Ni: 0.000 0.500 0.729
Ni: 0.500 0.000 0.229
Ni: 0.500 0.500 0.954
Au: 0.000 0.500 0.219
Au: 0.500 0.000 0.719

Properties
M_tot, μB/atom: 0.0000
Calculated density, Mg/m³: 15.194
Crystal system: orthorhombic

---

Entry b
## ReNi2Au (PBE)

Data for a relaxed structure of ReNi2Au.

Cell lengths 2.703, 2.703, 7.482 Å; angles 90.00, 90.00, 90.00 degrees
Fractional positions:
Re: 0.000 0.000 0.000
Ni: 0.500 0.500 0.234
Ni: 0.500 0.500 0.766
Au: 0.000 0.000 0.500

Properties
M_tot, μB/atom: 0.0000
Calculated density, Mg/m³: 15.207
Crystal system: tetragonal

---

Entry c
## ReNi2Au (PBE)

Data for a relaxed structure of ReNi2Au.

Cell lengths 2.737, 2.737, 25.792 Å; angles 90.00, 90.00, 120.00 degrees
Fractional positions:
Re: 0.000 0.000 0.000
Re: 0.333 0.667 0.667
Re: 0.667 0.333 0.333
Ni: 0.000 0.000 0.255
Ni: 0.000 0.000 0.745
Ni: 0.333 0.667 0.412
Ni: 0.333 0.667 0.921
Ni: 0.667 0.333 0.079
Ni: 0.667 0.333 0.588
Au: 0.000 0.000 0.500
Au: 0.333 0.667 0.167
Au: 0.667 0.333 0.833

Properties
M_tot, μB/atom: 0.0012
Calculated density, Mg/m³: 14.902
Crystal system: trigonal

---

Entry d
## ReNi2Au (PBE)

Data for a relaxed structure of ReNi2Au.

Cell lengths 6.052, 6.052, 6.052 Å; angles 90.00, 90.00, 90.00 degrees
Fractional positions:
Re: 0.000 0.000 0.000
Re: 0.000 0.500 0.500
Re: 0.500 0.000 0.500
Re: 0.500 0.500 0.000
Ni: 0.000 0.000 0.500
Ni: 0.000 0.500 0.000
Ni: 0.250 0.250 0.250
Ni: 0.250 0.750 0.750
Ni: 0.500 0.000 0.000
Ni: 0.500 0.500 0.500
Ni: 0.750 0.250 0.750
Ni: 0.750 0.750 0.250
Au: 0.250 0.250 0.750
Au: 0.250 0.750 0.250
Au: 0.750 0.250 0.250
Au: 0.750 0.750 0.750

Properties
M_tot, μB/atom: 0.0000
Calculated density, Mg/m³: 14.997
Crystal system: cubic

---

Which one sits at the top of the stability order? entry b does.

---

Entry a
## ReNi2Au (PBE)

Data for a relaxed structure of ReNi2Au.

Cell lengths 3.729, 3.729, 7.797 Å; angles 90.00, 90.00, 90.00 degrees
Fractional positions:
Re: 0.000 0.000 0.000
Re: 0.500 0.500 0.500
Ni: 0.000 0.000 0.500
Ni: 0.000 0.500 0.250
Ni: 0.500 0.000 0.750
Ni: 0.500 0.500 0.000
Au: 0.000 0.500 0.750
Au: 0.500 0.000 0.250

Properties
M_tot, μB/atom: 0.0002
Calculated density, Mg/m³: 15.332
Crystal system: tetragonal

---

Entry b
## ReNi2Au (PBE)

Data for a relaxed structure of ReNi2Au.

Cell lengths 6.708, 6.708, 5.348 Å; angles 90.00, 90.00, 90.00 degrees
Fractional positions:
Re: 0.000 0.000 0.000
Re: 0.000 0.500 0.250
Re: 0.500 0.000 0.750
Re: 0.500 0.500 0.500
Ni: 0.227 0.250 0.125
Ni: 0.250 0.727 0.375
Ni: 0.250 0.773 0.875
Ni: 0.273 0.250 0.625
Ni: 0.727 0.750 0.625
Ni: 0.750 0.227 0.875
Ni: 0.750 0.273 0.375
Ni: 0.773 0.750 0.125
Au: 0.000 0.000 0.500
Au: 0.000 0.500 0.750
Au: 0.500 0.000 0.250
Au: 0.500 0.500 0.000

Properties
M_tot, μB/atom: 0.0001
Calculated density, Mg/m³: 13.817
Crystal system: tetragonal

---

Which one sits at the top of the stability order? entry a does.

---

Entry a
## ReNi2Au (PBE)

Data for a relaxed structure of ReNi2Au.

Cell lengths 2.669, 3.645, 5.679 Å; angles 90.00, 90.00, 90.00 degrees
Fractional positions:
Re: 0.000 0.000 0.000
Ni: 0.000 0.000 0.572
Ni: 0.500 0.500 0.795
Au: 0.500 0.500 0.311

Properties
M_tot, μB/atom: 0.0000
Calculated density, Mg/m³: 15.046
Crystal system: orthorhombic

---

Entry b
## ReNi2Au (PBE)

Data for a relaxed structure of ReNi2Au.

Cell lengths 2.688, 3.625, 5.628 Å; angles 90.00, 90.00, 90.00 degrees
Fractional positions:
Re: 0.000 0.000 0.000
Ni: 0.500 0.500 0.219
Ni: 0.500 0.500 0.781
Au: 0.000 0.000 0.500

Properties
M_tot, μB/atom: 0.0000
Calculated density, Mg/m³: 15.154
Crystal system: orthorhombic

---

Which one sits at the top of the stability order? entry b does.